Below is an optimized crystal structure of La2YMgRh, with properties calculated at the PBE-GGA level.

Calculated values
Size of the total moment ... 0.0 μB/f.u.
DFT formation energy ... -266 meV/atom

abc: 5.5357 5.5357 5.5242
angles: 90.00 90.00 90.00
Space group P4/mmm (No. 123)
Inequivalent atoms, fractional coordinates:
La: 0.0000 0.5000 0.0000 [2 per cell]
Y: 0.0000 0.0000 0.5000 [1 per cell]
Mg: 0.5000 0.5000 0.5000 [1 per cell]
Rh: 0.0000 0.0000 0.0000 [1 per cell]


Below is an optimized crystal structure of La2MgZn2Rh5, with properties calculated at the PBE-GGA level.

Calculated values
Size of the total moment ... 0.0 μB/f.u.
DFT formation energy ... -534 meV/atom

abc: 9.8672 9.8672 3.7041
angles: 90.00 90.00 90.00
Space group P4/mbm (No. 127)
Inequivalent atoms, fractional coordinates:
La: 0.1764 0.3236 0.0000 [4 per cell]
Mg: 0.0000 0.0000 0.0000 [2 per cell]
Zn: 0.1215 0.6215 0.0000 [4 per cell]
Rh: 0.0000 0.5000 0.5000 [2 per cell]
Rh: 0.0682 0.7944 0.5000 [8 per cell]


Below is an optimized crystal structure of LaMg2ZnRh, with properties calculated at the PBE-GGA level.

Calculated values
Size of the total moment ... 0.1 μB/f.u.
DFT formation energy ... -248 meV/atom

abc: 4.8937 4.8937 4.9230
angles: 90.00 90.00 90.00
Space group P4/mmm (No. 123)
Inequivalent atoms, fractional coordinates:
La: 0.0000 0.0000 0.0000 [1 per cell]
Mg: 0.0000 0.5000 0.5000 [2 per cell]
Zn: 0.5000 0.5000 0.0000 [1 per cell]
Rh: 0.5000 0.5000 0.5000 [1 per cell]


Below is an optimized crystal structure of LaMg2ZnRh, with properties calculated at the PBE-GGA level.

Calculated values
Size of the total moment ... 0.0 μB/f.u.
DFT formation energy ... 7 meV/atom

abc: 4.7847 4.7847 4.9988
angles: 90.00 90.00 90.00
Space group P4/mmm (No. 123)
Inequivalent atoms, fractional coordinates:
La: 0.0000 0.0000 0.0000 [1 per cell]
Mg: 0.0000 0.5000 0.5000 [2 per cell]
Zn: 0.5000 0.5000 0.5000 [1 per cell]
Rh: 0.5000 0.5000 0.0000 [1 per cell]


Below is an optimized crystal structure of LaMgZn2Rh, with properties calculated at the PBE-GGA level.

Calculated values
Size of the total moment ... 0.3 μB/f.u.
DFT formation energy ... -271 meV/atom

abc: 4.8546 4.8546 4.7970
angles: 90.00 90.00 90.00
Space group P4/mmm (No. 123)
Inequivalent atoms, fractional coordinates:
La: 0.0000 0.0000 0.0000 [1 per cell]
Mg: 0.5000 0.5000 0.0000 [1 per cell]
Zn: 0.0000 0.5000 0.5000 [2 per cell]
Rh: 0.5000 0.5000 0.5000 [1 per cell]


Below is an optimized crystal structure of LaMgRu2, with properties calculated at the PBE-GGA level.

Calculated values
Size of the total moment ... 0.0 μB/f.u.
DFT formation energy ... 204 meV/atom

abc: 3.0297 4.4206 5.5656
angles: 90.00 94.92 90.00
Space group P2/m (No. 10)
Inequivalent atoms, fractional coordinates:
La: 0.0000 0.0000 0.0000 [1 per cell]
Mg: 0.5000 0.0000 0.5000 [1 per cell]
Ru: 0.2104 0.5000 0.7682 [2 per cell]


Below is an optimized crystal structure of LaMgRu2, with properties calculated at the PBE-GGA level.

Calculated values
Size of the total moment ... 0.9 μB/f.u.
DFT formation energy ... 325 meV/atom

abc: 6.7377 6.7377 6.7377
angles: 90.00 90.00 90.00
Space group F-43m (No. 216)
Inequivalent atoms, fractional coordinates:
La: 0.0000 0.0000 0.0000 [4 per cell]
Mg: 0.2500 0.2500 0.7500 [4 per cell]
Ru: 0.0000 0.0000 0.5000 [4 per cell]
Ru: 0.2500 0.2500 0.2500 [4 per cell]


Below is an optimized crystal structure of La8Mg3Ru2, with properties calculated at the PBE-GGA level.

Calculated values
Size of the total moment ... 0.0 μB/f.u.
DFT formation energy ... -92 meV/atom

abc: 17.9869 11.1907 3.9161
angles: 90.00 98.66 90.00
Space group C2/m (No. 12)
Inequivalent atoms, fractional coordinates:
La: 0.0774 0.0000 0.2799 [4 per cell]
La: 0.1721 0.2213 0.7071 [8 per cell]
La: 0.1716 0.5000 0.2040 [4 per cell]
Mg: 0.0000 0.2759 0.0000 [4 per cell]
Mg: 0.0000 0.5000 0.5000 [2 per cell]
Ru: 0.2217 0.0000 0.2187 [4 per cell]


Below is an optimized crystal structure of La4MgRu, with properties calculated at the PBE-GGA level.

Calculated values
Size of the total moment ... 0.0 μB/f.u.
DFT formation energy ... -227 meV/atom

abc: 14.3279 14.3279 14.3279
angles: 90.00 90.00 90.00
Space group F-43m (No. 216)
Inequivalent atoms, fractional coordinates:
La: 0.0000 0.0000 0.1875 [24 per cell]
La: 0.0595 0.2500 0.7500 [24 per cell]
La: 0.1557 0.1557 0.3443 [16 per cell]
Mg: 0.0781 0.0781 0.5781 [16 per cell]
Ru: 0.1370 0.1370 0.1370 [16 per cell]


Below is an optimized crystal structure of LaMgRu2, with properties calculated at the PBE-GGA level.

Calculated values
Size of the total moment ... 0.0 μB/f.u.
DFT formation energy ... 189 meV/atom

abc: 3.0494 4.6576 5.5221
angles: 90.00 102.89 90.00
Space group Pm (No. 6)
Inequivalent atoms, fractional coordinates:
La: 0.0000 0.0000 0.0000 [1 per cell]
Mg: 0.6210 0.5000 0.2927 [1 per cell]
Ru: 0.2563 0.5000 0.6997 [1 per cell]
Ru: 0.6129 0.0000 0.5467 [1 per cell]


Below is an optimized crystal structure of LaMgRu2, with properties calculated at the PBE-GGA level.

Calculated values
Size of the total moment ... 0.0 μB/f.u.
DFT formation energy ... 229 meV/atom

abc: 3.3303 5.1658 8.5440
angles: 90.00 90.00 90.00
Space group Cmmm (No. 65)
Inequivalent atoms, fractional coordinates:
La: 0.0000 0.0000 0.0000 [2 per cell]
Mg: 0.0000 0.0000 0.5000 [2 per cell]
Ru: 0.0000 0.5000 0.2535 [4 per cell]


Below is an optimized crystal structure of La3MgRu, with properties calculated at the PBE-GGA level.

Calculated values
Size of the total moment ... 0.0 μB/f.u.
DFT formation energy ... -190 meV/atom

abc: 9.2648 7.1513 10.8448
angles: 90.00 121.61 90.00
Space group P2_1/c (No. 14)
Inequivalent atoms, fractional coordinates:
La: 0.0868 0.0816 0.3088 [4 per cell]
La: 0.2431 0.5155 0.5787 [4 per cell]
La: 0.3031 0.0138 0.6950 [4 per cell]
Mg: 0.4736 0.7080 0.9790 [4 per cell]
Ru: 0.0203 0.2093 0.5346 [4 per cell]